Entry from Alexandria: a relaxed Re2NiP crystal (PBE).

a = 4.6235 Å, b = 4.6235 Å, c = 4.6235 Å
α = 132.51°, β = 132.51°, γ = 69.43°
Atoms (fractional coordinates):
1 Re 0.0000 0.0000 0.0000
2 P 0.7500 0.2500 0.5000
3 Re 0.2500 0.7500 0.5000
4 Ni 0.5000 0.5000 0.0000

The calculation puts the formation energy at 167 meV/atom. The space group is I-4m2, No. 119. Its total energy is -35.4 eV/cell. For the volume, the calculation gives 13.2 Å³ per atom.

***

Entry from Alexandria: a relaxed ReNiPS2 crystal (PBE).

a = 4.5118 Å, b = 4.5118 Å, c = 4.8480 Å
α = 90.00°, β = 90.00°, γ = 90.00°
Atoms (fractional coordinates):
1 Ni 0.5000 0.5000 0.5000
2 S 0.5000 0.0000 0.0000
3 P 0.0000 0.0000 0.5000
4 S 0.0000 0.5000 0.0000
5 Re 0.0000 0.0000 0.0000

The space group is P4/mmm, No. 123. Its total energy is -27.5 eV/cell. For the volume, the calculation gives 19.7 Å³ per atom. The uncorrected formation energy is 0.8778 eV per atom.

***

Entry from Alexandria: a relaxed ReNiPS2 crystal (PBE).

a = 4.3518 Å, b = 4.3518 Å, c = 4.2480 Å
α = 90.00°, β = 90.00°, γ = 90.00°
Atoms (fractional coordinates):
1 Re 0.5000 0.5000 0.5000
2 S 0.5000 0.0000 0.0000
3 S 0.0000 0.5000 0.0000
4 P 0.0000 0.0000 0.5000
5 Ni 0.0000 0.0000 0.0000

The space group is P4/mmm, No. 123. Its total energy is -26.4 eV/cell. For the volume, the calculation gives 16.1 Å³ per atom. The uncorrected formation energy is 1.0961 eV per atom.

***

Entry from Alexandria: a relaxed Ti2ReNiP crystal (PBE).

a = 4.5292 Å, b = 3.9231 Å, c = 4.5292 Å
α = 90.00°, β = 90.00°, γ = 90.00°
Atoms (fractional coordinates):
1 P 0.0000 0.5000 0.0000
2 Re 0.5000 0.5000 0.5000
3 Ti 0.0000 0.0000 0.5000
4 Ni 0.0000 0.0000 0.0000
5 Ti 0.5000 0.0000 0.0000

The calculation puts the formation energy at 467 meV/atom. The space group is P4/mmm, No. 123. Its total energy is -37.1 eV/cell. For the volume, the calculation gives 16.1 Å³ per atom.

***

Entry from Alexandria: a relaxed TlReNiP2 crystal (PBE).

a = 4.2695 Å, b = 5.0913 Å, c = 4.2695 Å
α = 90.00°, β = 90.00°, γ = 90.00°
Atoms (fractional coordinates):
1 Tl 0.5000 0.5000 0.5000
2 P 0.5000 0.0000 0.0000
3 P 0.0000 0.0000 0.5000
4 Re 0.0000 0.5000 0.0000
5 Ni 0.0000 0.0000 0.0000

The calculation puts the formation energy at 992 meV/atom. The space group is P4/mmm, No. 123. Its total energy is -26.5 eV/cell. For the volume, the calculation gives 18.6 Å³ per atom.

***

Entry from Alexandria: a relaxed ReNiPW2 crystal (PBE).

a = 4.7542 Å, b = 4.4939 Å, c = 4.7542 Å
α = 90.00°, β = 90.00°, γ = 90.00°
Atoms (fractional coordinates):
1 W 0.5000 0.0000 0.0000
2 P 0.5000 0.5000 0.5000
3 Ni 0.0000 0.5000 0.0000
4 Re 0.0000 0.0000 0.0000
5 W 0.0000 0.0000 0.5000

The calculation puts the formation energy at 2036 meV/atom. The space group is P4/mmm, No. 123. Its total energy is -39.4 eV/cell. For the volume, the calculation gives 20.3 Å³ per atom.

***

Entry from Alexandria: a relaxed NiP2Rh crystal (PBE).

a = 3.7861 Å, b = 4.6579 Å, c = 3.7899 Å
α = 66.86°, β = 88.05°, γ = 113.11°
Atoms (fractional coordinates):
1 Rh 0.0000 0.5000 0.5000
2 P 0.0000 0.0000 0.0000
3 P 0.5000 0.0000 0.5000
4 Ni 0.5000 0.5000 0.0000

The calculation puts the formation energy at -58 meV/atom. The space group is Fmmm, No. 69. Its total energy is -24.2 eV/cell. For the volume, the calculation gives 13.8 Å³ per atom.

***

Entry from Alexandria: a relaxed Ni2PRh crystal (PBE).

a = 8.4871 Å, b = 4.5814 Å, c = 7.6094 Å
α = 90.00°, β = 137.58°, γ = 90.00°
Atoms (fractional coordinates):
1 Ni 0.4162 0.8622 0.5194
2 P 0.7734 0.1979 0.3711
3 Rh 0.6274 0.8988 0.0297
4 P 0.7734 0.6979 0.8711
5 Rh 0.1274 0.1012 0.5297
6 Ni 0.4162 0.3622 0.0194
7 Ni 0.0241 0.6102 0.2879
8 Rh 0.6274 0.3988 0.5297
9 Rh 0.1274 0.6012 0.0297
10 Ni 0.9162 0.6378 0.5194
11 Ni 0.5241 0.3898 0.7879
12 Ni 0.0241 0.1102 0.7879
13 P 0.2734 0.3021 0.3711
14 P 0.2734 0.8021 0.8711
15 Ni 0.5241 0.8898 0.2879
16 Ni 0.9162 0.1378 0.0194

The calculation puts the formation energy at -370 meV/atom. The space group is Cc, No. 9. Its total energy is -103.2 eV/cell. For the volume, the calculation gives 12.5 Å³ per atom.

***

Entry from Alexandria: a relaxed Ni2PRh crystal (PBE).

a = 4.2872 Å, b = 4.2872 Å, c = 4.2872 Å
α = 128.50°, β = 128.50°, γ = 75.82°
Atoms (fractional coordinates):
1 Ni 0.0000 0.0000 0.0000
2 Ni 0.2500 0.7500 0.5000
3 P 0.5000 0.5000 0.0000
4 Rh 0.7500 0.2500 0.5000

The calculation puts the formation energy at -192 meV/atom. The space group is I-4m2, No. 119. Its total energy is -25.1 eV/cell. For the volume, the calculation gives 11.7 Å³ per atom.

***

Entry from Alexandria: a relaxed Ni2PRh crystal (PBE).

a = 2.9581 Å, b = 2.9581 Å, c = 5.4319 Å
α = 90.00°, β = 90.00°, γ = 90.00°
Atoms (fractional coordinates):
1 Ni 0.0000 0.0000 0.0306
2 Ni 0.5000 0.5000 0.2623
3 P 0.0000 0.0000 0.4687
4 Rh 0.5000 0.5000 0.7384

The calculation puts the formation energy at -175 meV/atom. The space group is P4mm, No. 99. Its total energy is -25.0 eV/cell. For the volume, the calculation gives 11.9 Å³ per atom.

***

Entry from Alexandria: a relaxed NiPRh crystal (PBE).

a = 3.9038 Å, b = 3.9038 Å, c = 3.9038 Å
α = 60.00°, β = 60.00°, γ = 60.00°
Atoms (fractional coordinates):
1 Rh 0.5000 0.5000 0.5000
2 Ni 0.2500 0.2500 0.2500
3 P 0.0000 0.0000 0.0000

The calculation puts the formation energy at 41 meV/atom. The space group is F-43m, No. 216. Its total energy is -18.4 eV/cell. For the volume, the calculation gives 14.0 Å³ per atom.

***

Entry from Alexandria: a relaxed NiPRh crystal (PBE).

a = 3.5201 Å, b = 3.5201 Å, c = 5.8967 Å
α = 90.00°, β = 90.00°, γ = 90.00°
Atoms (fractional coordinates):
1 P 0.2500 0.2500 0.2471
2 Rh 0.7500 0.7500 0.3684
3 Ni 0.7500 0.2500 0.0000
4 P 0.7500 0.7500 0.7529
5 Ni 0.2500 0.7500 0.0000
6 Rh 0.2500 0.2500 0.6316

The calculation puts the formation energy at -653 meV/atom. The space group is P4/nmm, No. 129. Its total energy is -41.0 eV/cell. For the volume, the calculation gives 12.2 Å³ per atom.